Record 1
Entry from Alexandria via LeMat-Bulk: an optimized crystal structure of Mg4In3Ag2 (PBE).

Computed properties:
Formation enthalpy at 0 K, eV/atom: -0.09

```
Mg4In3Ag2
1.0
-3.8168 1.6381 -1.4126
-1.3987 -1.6344 -4.7891
-4.0552 -8.5885 1.4383
In Mg Ag
3 4 2
direct
0.0000 0.0000 0.0000
0.3323 0.3338 0.4376
0.6677 0.6662 0.5624
0.6661 0.6668 0.8902
0.3339 0.3332 0.1098
0.0029 0.9940 0.3230
0.9971 0.0060 0.6770
0.3291 0.3392 0.7859
0.6709 0.6608 0.2141
```



Record 2
Entry from Alexandria via LeMat-Bulk: an optimized crystal structure of Sr5P4 (PBE).

Computed properties:
Formation enthalpy at 0 K, eV/atom: -0.32
Relative energy among the computed polymorphs, meV per atom: 554.2

```
Sr5P4
1.0
-5.3885 5.3885 2.5025
5.3885 -5.3885 2.5025
5.3885 5.3885 -2.5025
P Sr
4 5
direct
0.2615 0.0000 0.2615
0.0000 0.2615 0.2615
0.0000 0.7385 0.7385
0.7385 0.0000 0.7385
0.3164 0.3164 0.6328
0.3164 0.6836 0.0000
0.6836 0.3164 0.0000
0.0000 0.0000 0.0000
0.6836 0.6836 0.3672
```



Number 1: M_tot 0.00 μB per atom. Number 2: M_tot 0.23 μB per atom.